! PBE-GGA LaPdCl6, relaxed; values from VASP
! Volume, A^3/atom: 27.528
! Formation energy from raw total energies, eV per atom: -1.273
! Total DFT energy (no corrections), eV/atom: -3.92
&SYSTEM
  ibrav = 0, nat = 8, ntyp = 3
/
ATOMIC_SPECIES
La 138.91 La.upf
Pd 106.42 Pd.upf
Cl 35.45 Cl.upf
ATOMIC_POSITIONS angstrom
La 0.0000 0.0000 0.0000
Pd 3.0272 2.0912 3.0000
Cl 4.9362 2.0835 4.3920
Cl 4.0568 3.7112 1.6208
Cl 4.1311 0.2082 1.5518
Cl 8.3096 3.9741 4.4481
Cl 8.3839 0.4711 4.3791
Cl 7.5045 2.0988 1.6080
CELL_PARAMETERS angstrom
6.3863 0.0000 0.0000
2.8654 5.7474 0.0000
3.1890 -1.5651 5.9999

---

! PBE-GGA La3Pd2Cl, relaxed; values from VASP
! Volume, A^3/atom: 27.685
! Formation energy from raw total energies, eV per atom: -0.795
! Total DFT energy (no corrections), eV/atom: -5.30
&SYSTEM
  ibrav = 0, nat = 12, ntyp = 3
/
ATOMIC_SPECIES
La 138.91 La.upf
Pd 106.42 Pd.upf
Cl 35.45 Cl.upf
ATOMIC_POSITIONS angstrom
La 2.1919 5.6559 5.5142
La 2.1919 5.6559 9.5189
La 2.1919 2.0483 7.5166
La 2.1919 -2.0483 2.5055
La 2.1919 -5.6559 0.5032
La 2.1919 -5.6559 4.5079
Pd 2.1919 7.2641 2.5055
Pd 2.1919 0.0000 0.0000
Pd 2.1919 0.0000 5.0111
Pd 2.1919 -7.2641 7.5166
Cl 2.1919 3.2576 2.5055
Cl 2.1919 -3.2576 7.5166
CELL_PARAMETERS angstrom
2.1919 -7.5616 0.0000
2.1919 7.5616 0.0000
0.0000 0.0000 10.0221

---

! PBE-GGA La2PdCl2, relaxed; values from VASP
! Volume, A^3/atom: 31.641
! Formation energy from raw total energies, eV per atom: -1.565
! Total DFT energy (no corrections), eV/atom: -5.31
&SYSTEM
  ibrav = 0, nat = 5, ntyp = 3
/
ATOMIC_SPECIES
La 138.91 La.upf
Pd 106.42 Pd.upf
Cl 35.45 Cl.upf
ATOMIC_POSITIONS angstrom
La 1.2179 0.0000 1.7475
La 5.9606 0.0000 8.5628
Pd 3.6460 0.0000 0.0000
Cl 1.0983 0.0000 6.8211
Cl 6.0802 0.0000 3.4893
CELL_PARAMETERS angstrom
3.6460 -2.1042 0.0000
3.6460 2.1042 0.0000
-0.1134 0.0000 10.3104

---

! PBE-GGA LaPdCl3, relaxed; values from VASP
! Volume, A^3/atom: 24.231
! Formation energy from raw total energies, eV per atom: -0.943
! Total DFT energy (no corrections), eV/atom: -4.07
&SYSTEM
  ibrav = 0, nat = 5, ntyp = 3
/
ATOMIC_SPECIES
La 138.91 La.upf
Pd 106.42 Pd.upf
Cl 35.45 Cl.upf
ATOMIC_POSITIONS angstrom
La 0.0000 0.0000 0.0000
Pd 2.4741 2.4741 2.4741
Cl 0.0000 2.4741 2.4741
Cl 2.4741 0.0000 2.4741
Cl 2.4741 2.4741 0.0000
CELL_PARAMETERS angstrom
4.9482 0.0000 0.0000
0.0000 4.9482 0.0000
0.0000 0.0000 4.9482

---

! PBE-GGA La4Pd2Cl, relaxed; values from VASP
! Volume, A^3/atom: 28.440
! Formation energy from raw total energies, eV per atom: -0.908
! Total DFT energy (no corrections), eV/atom: -5.47
&SYSTEM
  ibrav = 0, nat = 7, ntyp = 3
/
ATOMIC_SPECIES
La 138.91 La.upf
Pd 106.42 Pd.upf
Cl 35.45 Cl.upf
ATOMIC_POSITIONS angstrom
La -0.8791 0.0000 2.8586
La -0.5329 0.0000 6.6087
La 8.6498 0.0000 0.6052
La 8.9960 0.0000 4.3553
Pd 3.3885 0.0000 2.2997
Pd 4.7283 0.0000 4.9142
Cl 0.0000 0.0000 0.0000
CELL_PARAMETERS angstrom
6.6995 -2.0596 0.0000
6.6995 2.0596 0.0000
-5.2822 0.0000 7.2140

---

! PBE-GGA LaPd3Cl, relaxed; values from VASP
! Volume, A^3/atom: 21.533
! Formation energy from raw total energies, eV per atom: -0.157
! Total DFT energy (no corrections), eV/atom: -4.63
&SYSTEM
  ibrav = 0, nat = 5, ntyp = 3
/
ATOMIC_SPECIES
La 138.91 La.upf
Pd 106.42 Pd.upf
Cl 35.45 Cl.upf
ATOMIC_POSITIONS angstrom
La 0.0000 0.0000 0.0000
Pd 0.0000 2.3786 2.3786
Pd 2.3786 0.0000 2.3786
Pd 2.3786 2.3786 0.0000
Cl 2.3786 2.3786 2.3786
CELL_PARAMETERS angstrom
4.7572 0.0000 0.0000
0.0000 4.7572 0.0000
0.0000 0.0000 4.7572